Entry 1:
Mn2TlCo after structural relaxation. Source: Alexandria via LeMat-Bulk, functional PBE-GGA.

Geometry as extended XYZ:
```
8
Lattice="3.973 0.000 0.000 0.000 4.023 0.000 0.000 0.000 7.585" Properties=species:S:1:pos:R:3 pbc="T T T"
Mn 0.000 0.000 1.884
Mn 0.000 0.000 5.701
Mn 1.986 2.012 1.909
Mn 1.986 2.012 5.677
Tl 0.000 2.012 0.000
Tl 1.986 0.000 3.793
Co 0.000 2.012 3.793
Co 1.986 0.000 0.000
```

## Properties
energy above the most stable polymorph in this dataset	99	meV/atom
V	121	Å³/cell
formation enthalpy at 0 K	0.3961	eV/atom
calculated density	10.22	g/cm³
final energy	-52.45	eV per cell

---

Entry 2:
Pr2MnAlS6 after structural relaxation. Source: Alexandria via LeMat-Bulk, functional PBE-GGA.

Geometry as extended XYZ:
```
20
Lattice="6.325 0.000 0.000 0.000 7.212 0.000 -6.290 0.000 9.142" Properties=species:S:1:pos:R:3 pbc="T T T"
Pr -0.242 0.784 2.281
Pr -3.387 2.822 6.852
Pr 3.422 4.390 2.290
Pr 0.277 6.428 6.861
Mn 3.162 0.000 0.000
Mn 0.018 3.606 4.571
Al -3.145 0.000 4.571
Al 0.000 3.606 0.000
S -5.097 1.279 8.699
S -1.952 2.327 4.128
S -4.354 4.830 8.699
S -1.210 5.988 4.128
S -2.453 0.091 6.883
S 0.692 3.515 2.312
S -0.657 3.697 6.830
S 2.488 7.121 2.259
S 1.245 1.224 5.014
S 4.389 2.382 0.443
S 1.988 4.885 5.014
S 5.132 5.933 0.443
```

## Properties
V	417	Å³/cell
formation energy without anion corrections	-136.93	kJ/mol of atoms
calculated density	4.43	g/cm³
final energy	-122.86	eV per cell

---

Entry 3:
Sr2MgTl4 after structural relaxation. Source: Alexandria via LeMat-Bulk, functional PBE-GGA.

Geometry as extended XYZ:
```
14
Lattice="5.385 0.000 0.000 0.000 5.385 0.000 0.000 0.000 17.473" Properties=species:S:1:pos:R:3 pbc="T T T"
Sr 0.000 0.000 2.421
Sr 0.000 0.000 15.052
Sr 2.692 2.692 6.316
Sr 2.692 2.692 11.157
Mg 0.000 0.000 8.736
Mg 2.692 2.692 0.000
Tl 0.000 0.000 5.793
Tl 0.000 0.000 11.679
Tl 0.000 2.692 0.000
Tl 0.000 2.692 8.736
Tl 2.692 0.000 0.000
Tl 2.692 0.000 8.736
Tl 2.692 2.692 2.943
Tl 2.692 2.692 14.530
```

## Properties
V	507	Å³/cell
formation enthalpy at 0 K	-0.0708	eV/atom
calculated density	6.67	g/cm³
final energy	-29.84	eV per cell

---

Q: What is the final energy in the third record?
A: -29.84 eV per cell